Entry 1:
V2PO | PBE+U | optimized geometry

Unit cell a=4.044 b=4.044 c=4.044 alpha=60.00 beta=60.00 gamma=60.00
Site moments in Bohr magnetons follow the coordinates.
Element x y z (fractional)
P 0.500 0.500 0.500  -0.04
O 0.000 0.000 0.000  -0.01
V 0.250 0.250 0.250  0.41
V 0.750 0.750 0.750  0.41

Its crystal system is cubic. The space group is Fm-3m, No. 225. The energy above the most stable polymorph in this dataset is 273.7 kJ/mol of formula units.



Entry 2:
VP2O2 | PBE+U | optimized geometry

Unit cell a=3.626 b=3.626 c=5.392 alpha=90.00 beta=90.00 gamma=90.00
Site moments in Bohr magnetons follow the coordinates.
Element x y z (fractional)
P 0.500 0.500 0.500  0.40
P 0.000 0.000 0.500  -0.06
O 0.000 0.500 0.000  -0.09
O 0.500 0.000 0.000  -0.09
V 0.000 0.000 0.000  0.79

Its crystal system is tetragonal. The space group is P4/mmm, No. 123. The energy above the most stable polymorph in this dataset is 0.0 kJ/mol of formula units.



Entry 3:
VP2O2 | PBE+U | optimized geometry

Unit cell a=3.858 b=3.858 c=4.168 alpha=90.00 beta=90.00 gamma=90.00
Site moments in Bohr magnetons follow the coordinates.
Element x y z (fractional)
P 0.000 0.500 0.000  -0.14
P 0.500 0.000 0.000  -0.14
O 0.000 0.000 0.000  -0.01
O 0.000 0.000 0.500  -0.21
V 0.500 0.500 0.500  2.21

Its crystal system is tetragonal. The space group is P4/mmm, No. 123. The energy above the most stable polymorph in this dataset is 480.7 kJ/mol of formula units.



Entry 4:
VP2O2 | PBE+U | optimized geometry

Unit cell a=4.581 b=4.581 c=3.600 alpha=90.00 beta=90.00 gamma=90.00
Element x y z (fractional)
P 0.000 0.500 0.000
P 0.500 0.000 0.000
O 0.500 0.500 0.500
O 0.000 0.000 0.500
V 0.000 0.000 0.000

Its crystal system is tetragonal. The space group is P4/mmm, No. 123. The energy above the most stable polymorph in this dataset is 446.2 kJ/mol of formula units.



Entry 5:
VP3O9 | PBE+U | optimized geometry

Unit cell a=7.491 b=7.491 c=9.631 alpha=57.44 beta=57.44 gamma=51.97
Site moments in Bohr magnetons follow the coordinates.
Element x y z (fractional)
V 0.493 0.013 0.395  1.90
V 0.013 0.493 0.895  1.90
P 0.291 0.493 0.069  0.01
P 0.493 0.291 0.569  0.01
P 0.054 0.940 0.158  0.00
P 0.940 0.054 0.658  0.00
P 0.525 0.700 0.221  0.00
P 0.700 0.525 0.721  0.00
O 0.411 0.334 0.207  -0.01
O 0.334 0.411 0.707  -0.01
O 0.470 0.566 0.886  0.00
O 0.566 0.470 0.386  0.00
O 0.749 0.104 0.597  0.00
O 0.104 0.749 0.097  0.00
O 0.676 0.620 0.062  -0.01
O 0.620 0.676 0.562  -0.01
O 0.807 0.249 0.750  0.00
O 0.249 0.807 0.250  0.00
O 0.080 0.145 0.999  0.00
O 0.145 0.080 0.499  0.00
O 0.821 0.987 0.300  0.00
O 0.987 0.821 0.800  0.00
O 0.559 0.870 0.231  0.00
O 0.870 0.559 0.731  0.00
O 0.409 0.163 0.558  0.00
O 0.163 0.409 0.058  0.00

Its crystal system is monoclinic. The space group is Cc, No. 9. The energy above the most stable polymorph in this dataset is 0.0 kJ/mol of formula units.



Entry 6:
VPO2 | PBE+U | optimized geometry

Unit cell a=6.319 b=6.319 c=6.319 alpha=27.84 beta=27.84 gamma=27.84
Site moments in Bohr magnetons follow the coordinates.
Element x y z (fractional)
P 0.000 0.000 0.000  0.14
O 0.892 0.892 0.892  0.00
O 0.108 0.108 0.108  0.00
V 0.500 0.500 0.500  1.95

The value obtained for the energy is -27.66 eV/cell. Its crystal system is trigonal. The space group is R-3m, No. 166.



Entry 7:
V2P3O12 | PBE+U | optimized geometry

Unit cell a=8.458 b=8.590 c=11.863 alpha=90.00 beta=89.43 gamma=90.00
Site moments in Bohr magnetons follow the coordinates.
Element x y z (fractional)
V 0.754 0.531 0.116  1.02
V 0.746 0.031 0.384  1.02
V 0.751 0.469 0.619  0.03
V 0.749 0.969 0.881  0.03
V 0.251 0.031 0.119  0.03
V 0.249 0.531 0.381  0.03
V 0.254 0.969 0.616  1.02
V 0.246 0.469 0.884  1.02
P 0.970 0.249 0.994  0.00
P 0.894 0.383 0.356  0.00
P 0.889 0.116 0.642  0.00
P 0.606 0.883 0.144  0.00
P 0.611 0.616 0.858  0.00
P 0.530 0.749 0.506  0.00
P 0.470 0.251 0.494  0.00
P 0.389 0.384 0.142  0.00
P 0.394 0.117 0.856  0.00
P 0.111 0.884 0.358  0.00
P 0.030 0.751 0.006  0.00
P 0.106 0.617 0.644  0.00
O 0.934 0.893 0.381  0.00
O 0.933 0.678 0.102  -0.01
O 0.927 0.859 0.931  0.00
O 0.927 0.584 0.664  -0.01
O 0.892 0.367 0.075  -0.02
O 0.872 0.205 0.340  -0.03
O 0.852 0.428 0.478  0.00
O 0.842 0.285 0.677  -0.01
O 0.846 0.007 0.744  0.00
O 0.835 0.153 0.942  -0.01
O 0.795 0.479 0.274  -0.01
O 0.786 0.067 0.544  -0.01
O 0.705 0.979 0.226  -0.01
O 0.714 0.567 0.956  -0.01
O 0.665 0.653 0.558  -0.01
O 0.648 0.928 0.022  0.00
O 0.654 0.507 0.756  0.00
O 0.066 0.107 0.619  0.00
O 0.658 0.785 0.823  -0.01
O 0.608 0.867 0.425  -0.02
O 0.567 0.178 0.398  -0.01
O 0.566 0.393 0.119  0.00
O 0.573 0.084 0.836  -0.01
O 0.573 0.359 0.569  0.00
O 0.427 0.641 0.431  0.00
O 0.427 0.916 0.164  -0.01
O 0.434 0.607 0.881  0.00
O 0.433 0.822 0.602  -0.01
O 0.392 0.133 0.575  -0.02
O 0.342 0.215 0.177  -0.01
O 0.372 0.295 0.840  -0.03
O 0.346 0.493 0.244  0.00
O 0.352 0.072 0.978  0.00
O 0.335 0.347 0.442  -0.01
O 0.286 0.433 0.044  -0.01
O 0.295 0.021 0.774  -0.01
O 0.214 0.933 0.456  -0.01
O 0.205 0.521 0.726  -0.01
O 0.165 0.847 0.058  -0.01
O 0.154 0.993 0.256  0.00
O 0.158 0.715 0.323  -0.01
O 0.148 0.572 0.522  0.00
O 0.128 0.795 0.660  -0.03
O 0.108 0.633 0.925  -0.02
O 0.073 0.416 0.336  -0.01
O 0.073 0.141 0.069  0.00
O 0.067 0.322 0.898  -0.01
O 0.628 0.705 0.160  -0.03

Its crystal system is monoclinic. The space group is P2_1/c, No. 14. The energy above the most stable polymorph in this dataset is 8.2 kJ/mol of formula units.



Entry 8:
V3P4O14 | PBE+U | optimized geometry

Unit cell a=8.017 b=7.304 c=9.519 alpha=68.88 beta=90.00 gamma=90.00
Site moments in Bohr magnetons follow the coordinates.
Element x y z (fractional)
V 0.628 0.190 0.472  1.94
V 0.872 0.190 0.972  1.94
V 0.128 0.810 0.028  1.94
V 0.500 0.000 0.000  2.72
V 0.372 0.810 0.528  1.94
V 0.000 0.000 0.500  2.72
P 0.710 0.883 0.304  0.01
P 0.055 0.599 0.795  0.01
P 0.445 0.599 0.295  0.01
P 0.555 0.401 0.705  0.01
P 0.945 0.401 0.205  0.01
P 0.290 0.117 0.696  0.01
P 0.790 0.883 0.804  0.01
P 0.210 0.117 0.196  0.01
O 0.632 0.275 0.858  -0.01
O 0.715 0.012 0.134  -0.02
O 0.080 0.035 0.109  -0.02
O 0.374 0.156 0.117  0.00
O 0.785 0.012 0.634  -0.02
O 0.420 0.035 0.609  -0.02
O 0.285 0.988 0.866  -0.02
O 0.920 0.965 0.891  -0.02
O 0.626 0.844 0.883  0.00
O 0.215 0.988 0.366  -0.02
O 0.580 0.965 0.391  -0.02
O 0.869 0.685 0.799  0.00
O 0.154 0.624 0.924  -0.01
O 0.874 0.844 0.383  0.00
O 0.132 0.725 0.642  -0.01
O 0.521 0.615 0.682  -0.01
O 0.631 0.685 0.299  0.00
O 0.846 0.376 0.076  -0.01
O 0.368 0.725 0.142  -0.01
O 0.021 0.385 0.818  -0.01
O 0.979 0.615 0.182  -0.01
O 0.131 0.315 0.201  0.00
O 0.654 0.376 0.576  -0.01
O 0.369 0.315 0.701  0.00
O 0.479 0.385 0.318  -0.01
O 0.868 0.275 0.358  -0.01
O 0.126 0.156 0.617  0.00
O 0.346 0.624 0.424  -0.01

The value obtained for the energy is -317.43 eV/cell. Its crystal system is monoclinic. The space group is P2_1/c, No. 14.



Entry 9:
V2PO6 | PBE+U | optimized geometry

Unit cell a=4.493 b=4.493 c=8.244 alpha=90.00 beta=90.00 gamma=90.00
Site moments in Bohr magnetons follow the coordinates.
Element x y z (fractional)
V 0.000 0.000 0.349  0.51
V 0.500 0.500 0.849  0.51
V 0.500 0.500 0.151  0.51
V 0.000 0.000 0.651  0.51
P 0.000 0.000 0.000  0.01
P 0.500 0.500 0.500  0.01
O 0.315 0.315 0.348  -0.03
O 0.685 0.685 0.348  -0.03
O 0.185 0.815 0.848  -0.03
O 0.815 0.185 0.848  -0.03
O 0.185 0.815 0.152  -0.03
O 0.815 0.185 0.152  -0.03
O 0.315 0.315 0.652  -0.03
O 0.685 0.685 0.652  -0.03
O 0.270 0.270 0.000  0.01
O 0.730 0.730 0.000  0.01
O 0.230 0.770 0.500  0.01
O 0.770 0.230 0.500  0.01

Its crystal system is tetragonal. The space group is P4_2/mnm, No. 136. The energy above the most stable polymorph in this dataset is 156.5 kJ/mol of formula units.



Entry 10:
V2P5O16 | PBE+U | optimized geometry

Unit cell a=6.832 b=5.129 c=19.115 alpha=90.02 beta=90.00 gamma=90.00
Site moments in Bohr magnetons follow the coordinates.
Element x y z (fractional)
V 0.819 0.755 0.906  1.54
V 0.819 0.245 0.594  1.54
V 0.181 0.755 0.406  1.54
V 0.181 0.245 0.094  1.54
P 0.125 0.251 0.923  0.01
P 0.535 0.257 0.870  0.00
P 0.727 0.000 0.750  0.00
P 0.535 0.743 0.630  0.00
P 0.125 0.749 0.577  0.01
P 0.875 0.251 0.423  0.01
P 0.465 0.257 0.370  0.00
P 0.273 0.000 0.250  0.00
P 0.465 0.743 0.130  0.00
P 0.875 0.749 0.077  0.01
O 0.210 0.333 0.993  -0.01
O 0.040 0.975 0.925  -0.04
O 0.632 0.058 0.916  -0.01
O 0.585 0.540 0.883  -0.02
O 0.988 0.447 0.889  -0.02
O 0.306 0.226 0.868  -0.01
O 0.842 0.847 0.803  -0.01
O 0.579 0.197 0.788  0.00
O 0.579 0.803 0.712  0.00
O 0.842 0.153 0.697  -0.01
O 0.306 0.774 0.632  -0.01
O 0.988 0.553 0.611  -0.02
O 0.585 0.460 0.617  -0.02
O 0.632 0.942 0.584  -0.01
O 0.040 0.025 0.575  -0.04
O 0.210 0.667 0.507  -0.01
O 0.790 0.333 0.493  -0.01
O 0.960 0.975 0.425  -0.04
O 0.368 0.058 0.416  -0.01
O 0.415 0.540 0.383  -0.02
O 0.012 0.447 0.389  -0.02
O 0.694 0.226 0.368  -0.01
O 0.158 0.847 0.303  -0.01
O 0.421 0.197 0.288  0.00
O 0.421 0.803 0.212  0.00
O 0.158 0.153 0.197  -0.01
O 0.694 0.774 0.132  -0.01
O 0.012 0.553 0.111  -0.02
O 0.415 0.460 0.117  -0.02
O 0.368 0.942 0.084  -0.01
O 0.960 0.025 0.075  -0.04
O 0.790 0.667 0.007  -0.01

The value obtained for the energy is -341.34 eV/cell. Its crystal system is monoclinic. The space group is P2/c, No. 13.



Entry 11:
V2PO | PBE+U | optimized geometry

Unit cell a=5.156 b=5.156 c=6.195 alpha=65.41 beta=65.41 gamma=90.00
Site moments in Bohr magnetons follow the coordinates.
Element x y z (fractional)
P 0.000 0.000 0.000  -0.20
P 0.750 0.250 0.500  -0.20
O 0.500 0.500 0.000  -0.08
O 0.250 0.750 0.500  -0.08
V 0.562 0.125 0.250  2.37
V 0.188 0.625 0.250  2.37
V 0.375 0.438 0.750  2.37
V 0.875 0.812 0.750  2.37

Its crystal system is tetragonal. The space group is I-42d, No. 122. The energy above the most stable polymorph in this dataset is 0.0 kJ/mol of formula units.



Entry 12:
VP3O | PBE+U | optimized geometry

Unit cell a=4.444 b=4.444 c=4.444 alpha=90.00 beta=90.00 gamma=90.00
Site moments in Bohr magnetons follow the coordinates.
Element x y z (fractional)
P 0.000 0.500 0.000  -0.04
P 0.000 0.000 0.500  -0.04
P 0.500 0.000 0.000  -0.04
O 0.500 0.500 0.500  0.53
V 0.000 0.000 0.000  0.07

Its crystal system is cubic. The space group is Pm-3m, No. 221. The energy above the most stable polymorph in this dataset is 239.6 kJ/mol of formula units.